No. 1
{"formula": "CaTc3Mo", "functional": "PBE", "state": "optimized geometry", "lattice_angstrom": [[-2.6579, -3.9125, -0.5469], [1.3703, -0.2948, -4.5505], [3.7053, -2.6975, 1.2905]], "species": ["Mo", "Ca", "Tc", "Tc", "Tc"], "fractional_positions": [[0.0000, 0.0000, 0.0000], [0.5000, 0.5000, 0.5000], [0.0000, 0.5000, 0.0000], [0.0000, 0.0000, 0.5000], [0.5000, 0.0000, 0.0000]], "crystal_system": "cubic", "total_magnetization_mub_per_cell": 2.3, "polymorph_energy_ev_per_atom": 0.0000, "formation_energy_mev_per_atom": 1170, "final_energy_ev_per_atom": -7.617}



No. 2
{"formula": "CaTcMo2", "functional": "PBE", "state": "optimized geometry", "lattice_angstrom": [[4.7075, 0.0000, 0.0000], [0.0000, 4.7075, 0.0000], [0.0000, 0.0000, 3.0946]], "species": ["Mo", "Mo", "Ca", "Tc"], "fractional_positions": [[0.0000, 0.0000, 0.0000], [0.5000, 0.5000, 0.0000], [0.0000, 0.5000, 0.5000], [0.5000, 0.0000, 0.5000]], "crystal_system": "tetragonal", "total_magnetization_mub_per_cell": 0.0, "polymorph_energy_ev_per_atom": 0.3672, "formation_energy_mev_per_atom": 805, "final_energy_ev_per_atom": -7.702}



No. 3
{"formula": "CaTcMo2", "functional": "PBE", "state": "optimized geometry", "lattice_angstrom": [[2.8006, 0.0055, 0.0000], [-0.9253, 2.6434, 0.0000], [0.0000, 0.0000, 9.5876]], "species": ["Mo", "Mo", "Ca", "Tc"], "fractional_positions": [[0.0000, 0.0000, 0.0313], [0.0000, 0.0000, 0.4687], [0.5000, 0.5000, 0.7500], [0.5000, 0.5000, 0.2500]], "crystal_system": "orthorhombic", "total_magnetization_mub_per_cell": 0.0, "polymorph_energy_ev_per_atom": 0.0961, "formation_energy_mev_per_atom": 534, "final_energy_ev_per_atom": -7.973}



No. 4
{"formula": "CaTcMo2", "functional": "PBE", "state": "optimized geometry", "lattice_angstrom": [[-3.5588, 4.1374, -1.1024], [-1.0038, -5.2513, -1.5539], [-1.2377, -0.4481, 2.3138]], "species": ["Mo", "Mo", "Ca", "Tc"], "fractional_positions": [[0.0000, 0.0000, 0.0000], [0.5000, 0.5000, 0.0000], [0.0000, 0.5000, 0.5000], [0.5000, 0.0000, 0.5000]], "crystal_system": "orthorhombic", "total_magnetization_mub_per_cell": 0.0, "polymorph_energy_ev_per_atom": 0.2827, "formation_energy_mev_per_atom": 721, "final_energy_ev_per_atom": -7.787}



No. 5
{"formula": "Ca4TcMo", "functional": "PBE", "state": "optimized geometry", "lattice_angstrom": [[-2.0362, -5.2361, -2.6191], [-3.2147, -4.0992, 3.3593], [-6.0587, -0.7907, -1.0439]], "species": ["Ca", "Ca", "Ca", "Ca", "Tc", "Mo"], "fractional_positions": [[0.8762, 0.3746, 0.3746], [0.3746, 0.3746, 0.8762], [0.3746, 0.8762, 0.3746], [0.3746, 0.3746, 0.3746], [0.0000, 0.0000, 0.0000], [0.7500, 0.7500, 0.7500]], "crystal_system": "cubic", "total_magnetization_mub_per_cell": 6.0, "formation_energy_mev_per_atom": 1437, "final_energy_ev_per_atom": -3.430}



No. 6
{"formula": "CaTcMo2", "functional": "PBE", "state": "optimized geometry", "lattice_angstrom": [[-1.5009, -3.9317, 0.8636], [1.4969, -0.0302, 2.4641], [-4.2279, 2.4512, 3.8120]], "species": ["Mo", "Mo", "Ca", "Tc"], "fractional_positions": [[0.0000, 0.9986, 0.0630], [0.5000, 0.2497, 0.2534], [0.5000, 0.7526, 0.7448], [0.0000, 0.4989, 0.4387]], "crystal_system": "monoclinic", "total_magnetization_mub_per_cell": 0.0, "polymorph_energy_ev_per_atom": 0.0726, "formation_energy_mev_per_atom": 511, "final_energy_ev_per_atom": -7.997}



No. 7
{"formula": "CaTcMo3", "functional": "PBE", "state": "optimized geometry", "lattice_angstrom": [[4.5076, 0.0000, 0.0000], [0.0000, 4.5076, 0.0000], [0.0000, 0.0000, 4.5076]], "species": ["Mo", "Mo", "Mo", "Ca", "Tc"], "fractional_positions": [[0.0000, 0.5000, 0.0000], [0.0000, 0.0000, 0.5000], [0.5000, 0.0000, 0.0000], [0.0000, 0.0000, 0.0000], [0.5000, 0.5000, 0.5000]], "crystal_system": "cubic", "total_magnetization_mub_per_cell": 0.0, "polymorph_energy_ev_per_atom": 1.5721, "formation_energy_mev_per_atom": 2797, "final_energy_ev_per_atom": -6.176}



No. 8
{"formula": "Ca2TcMo", "functional": "PBE", "state": "optimized geometry", "lattice_angstrom": [[4.8525, -0.0025, 0.0000], [0.0093, 4.8525, 0.0000], [-2.4309, -2.4250, 3.4288]], "species": ["Mo", "Ca", "Ca", "Tc"], "fractional_positions": [[0.5000, 0.5000, 0.0000], [0.0000, 0.0000, 0.0000], [0.2500, 0.7500, 0.5000], [0.7500, 0.2500, 0.5000]], "crystal_system": "cubic", "total_magnetization_mub_per_cell": 0.0, "polymorph_energy_ev_per_atom": 0.4203, "formation_energy_mev_per_atom": 686, "final_energy_ev_per_atom": -5.614}



No. 9
{"formula": "CaTcMo2", "functional": "PBE", "state": "optimized geometry", "lattice_angstrom": [[-0.6810, -1.8465, -2.4344], [-1.8831, -3.0792, 2.8623], [-4.2314, 2.1630, -0.4569]], "species": ["Mo", "Mo", "Ca", "Tc"], "fractional_positions": [[0.0000, 0.0000, 0.0000], [0.5000, 0.5000, 0.0000], [0.0000, 0.5000, 0.5000], [0.5000, 0.0000, 0.5000]], "crystal_system": "orthorhombic", "total_magnetization_mub_per_cell": 0.0, "polymorph_energy_ev_per_atom": 0.2686, "formation_energy_mev_per_atom": 707, "final_energy_ev_per_atom": -7.801}



No. 10
{"formula": "CaTcMo2", "functional": "PBE", "state": "optimized geometry", "lattice_angstrom": [[5.4317, 0.0027, 0.0023], [2.3200, 4.9113, -0.0023], [-3.2423, -3.4564, 2.6541]], "species": ["Mo", "Mo", "Ca", "Tc"], "fractional_positions": [[0.9783, 0.9783, 0.0000], [0.7477, 0.2477, 0.5000], [0.2527, 0.7527, 0.5000], [0.5212, 0.5212, 0.0000]], "crystal_system": "orthorhombic", "total_magnetization_mub_per_cell": 0.0, "polymorph_energy_ev_per_atom": 0.1369, "formation_energy_mev_per_atom": 575, "final_energy_ev_per_atom": -7.932}



No. 11
{"formula": "CaTcMo2", "functional": "PBE", "state": "optimized geometry", "lattice_angstrom": [[5.1958, 0.0150, 0.0221], [4.2417, 3.0007, 0.0221], [1.6388, 0.5237, 5.0271]], "species": ["Mo", "Mo", "Ca", "Tc"], "fractional_positions": [[0.9668, 0.9668, 0.0872], [0.2486, 0.2486, 0.2529], [0.7538, 0.7538, 0.7459], [0.5308, 0.5308, 0.4140]], "crystal_system": "monoclinic", "total_magnetization_mub_per_cell": 0.0, "polymorph_energy_ev_per_atom": 0.1231, "formation_energy_mev_per_atom": 561, "final_energy_ev_per_atom": -7.946}



No. 12
{"formula": "Ca2TcMo", "functional": "PBE", "state": "optimized geometry", "lattice_angstrom": [[-3.7440, 4.9520, 8.3369], [-2.8976, 2.3684, 9.6974], [-0.8755, 4.5998, 9.2801]], "species": ["Mo", "Ca", "Ca", "Tc"], "fractional_positions": [[0.2500, 0.2500, 0.2500], [0.0026, 0.0026, 0.0026], [0.4974, 0.4974, 0.4974], [0.7500, 0.7500, 0.7500]], "crystal_system": "trigonal", "total_magnetization_mub_per_cell": 0.4, "polymorph_energy_ev_per_atom": 0.6856, "formation_energy_mev_per_atom": 951, "final_energy_ev_per_atom": -5.349}